# TlBiSb2 PBE optimized geometry
data_TlBiSb2
_cell_length_a 4.204
_cell_length_b 4.204
_cell_length_c 7.068
_cell_angle_alpha 90.00
_cell_angle_beta 90.00
_cell_angle_gamma 90.00
_space_group_name_H-M_alt 'P 4/m m m'
_space_group_IT_number 123
_space_group_name_Hall '-P 4 2'
loop_
_atom_site_label
_atom_site_type_symbol
_atom_site_fract_x
_atom_site_fract_y
_atom_site_fract_z
Tl1 Tl 0.000 0.000 0.000
Bi1 Bi 0.000 0.000 0.500
Sb1 Sb 0.500 0.500 0.285
# ΔE_f (raw) = 0.112 eV/atom
# total magnetic moment = 0.0 μB/cell
# density of states at the Fermi level = 0.47 states/eV/atom